The following is a GGA+U calculation of a relaxed MnWO2F crystal, from the Alexandria database.

abc: 4.0189 4.0189 3.9099
angles: 90.00 90.00 90.00
Site moments in Bohr magnetons follow the coordinates.
Fractional positions:
Mn: 0.0000 0.0000 0.0000  4.26
F: 0.0000 0.0000 0.5000  0.11
O: 0.0000 0.5000 0.0000  -0.09
O: 0.5000 0.0000 0.0000  -0.09
W: 0.5000 0.5000 0.5000  3.28

Summary:
Crystal system: tetragonal
SG: P4/mmm (123)
V in Å³ per cell: 63
Total DFT energy (no corrections) in eV per atom: -6.171
Spin magnetization in μB per cell: 8.0